1.
The following is a PBE calculation of a relaxed MgSi crystal, from Alexandria.

Uncorrected formation energy   0.1 eV per formula unit

Geometry as CIF:
```
data_MgSi
_symmetry_space_group_name_H-M 'C 1 m 1'
_symmetry_Int_Tables_number 8
_cell_length_a 9.4621
_cell_length_b 4.0984
_cell_length_c 12.2670
_cell_angle_alpha 90.00
_cell_angle_beta 110.17
_cell_angle_gamma 90.00
loop_
_symmetry_equiv_pos_as_xyz
'x,y,z'
'x,-y,z'
'x+1/2,y+1/2,z'
'x+1/2,-y+1/2,z'
loop_
_atom_site_label
_atom_site_fract_x
_atom_site_fract_y
_atom_site_fract_z
Mg1 0.0000 0.0000 0.0000
Mg2 0.0028 0.5000 0.7351
Mg3 0.0178 0.0000 0.3578
Mg4 0.2443 0.0000 0.8777
Mg5 0.3069 0.5000 0.5219
Mg6 0.3699 0.0000 0.1419
Si1 0.0075 0.5000 0.5069
Si2 0.1630 0.0000 0.6349
Si3 0.1769 0.5000 0.2114
Si4 0.2032 0.5000 0.0141
Si5 0.2860 0.0000 0.3314
Si6 0.3207 0.5000 0.7580
```

=====

2.
The following is a PBE calculation of a relaxed Ba2NdH crystal, from Alexandria.

DFT total energy   -2.864 eV per atom

Geometry as CIF:
```
data_Ba2NdH
_symmetry_space_group_name_H-M 'R -3 m'
_symmetry_Int_Tables_number 166
_symmetry_space_group_name_Hall '-R 3 2"'
_cell_length_a 3.9178
_cell_length_b 3.9178
_cell_length_c 32.0977
_cell_angle_alpha 90.00
_cell_angle_beta 90.00
_cell_angle_gamma 120.00
loop_
_atom_site_label
_atom_site_fract_x
_atom_site_fract_y
_atom_site_fract_z
Ba1 0.0000 0.0000 0.1149
Nd1 0.0000 0.0000 0.0000
H1 0.0000 0.0000 0.5000
```

=====

3.
The following is a PBE calculation of a relaxed Gd2InBr crystal, from Alexandria.

Energy above the lowest structure with this stoichiometry   0.039 eV per atom
Uncorrected formation energy   -2.8 eV per formula unit

Geometry as CIF:
```
data_Gd2InBr
_symmetry_space_group_name_H-M 'R -3 m'
_symmetry_Int_Tables_number 166
_symmetry_space_group_name_Hall '-R 3 2"'
_cell_length_a 3.7598
_cell_length_b 3.7598
_cell_length_c 27.5540
_cell_angle_alpha 90.00
_cell_angle_beta 90.00
_cell_angle_gamma 120.00
loop_
_atom_site_label
_atom_site_fract_x
_atom_site_fract_y
_atom_site_fract_z
Gd1 0.0000 0.0000 0.2479
In1 0.0000 0.0000 0.0000
Br1 0.0000 0.0000 0.5000
```